Entry 1:
Compound: Th2OsRh
Source: Alexandria via LeMat-Bulk
Functional: PBE
Structure: optimized geometry

Properties
ρ	13.56	Mg/m³
volume	93	Å³/f.u.
energy relative to the elements	-2.6	eV/f.u.
energy	-9.008	eV per atom
N(E_F)	0.56	states/eV/atom

```
Th2OsRh
1.0
5.691 0.000 0.000
0.000 5.672 0.000
-2.880 0.000 11.492
Th Os Rh
8 4 4
Direct
0.194 0.125 0.136
0.194 0.875 0.636
0.306 0.374 0.860
0.306 0.626 0.360
0.694 0.374 0.640
0.694 0.626 0.140
0.806 0.125 0.364
0.806 0.875 0.864
0.169 0.376 0.594
0.169 0.624 0.094
0.831 0.376 0.906
0.831 0.624 0.406
0.326 0.126 0.404
0.326 0.874 0.904
0.674 0.126 0.096
0.674 0.874 0.596
```

Entry 2:
Compound: YThOsRh
Source: Alexandria via LeMat-Bulk
Functional: PBE
Structure: optimized geometry

Properties
ρ	11.87	Mg/m³
volume	86	Å³/f.u.
energy relative to the elements	-2.1	eV/f.u.
energy	-8.630	eV per atom
N(E_F)	0.39	states/eV/atom

```
YThOsRh
1.0
7.004 0.000 0.000
0.000 7.004 0.000
0.000 0.000 7.004
Y Th Os Rh
4 4 4 4
Direct
0.000 0.000 0.000
0.000 0.500 0.500
0.500 0.000 0.500
0.500 0.500 0.000
0.000 0.000 0.500
0.000 0.500 0.000
0.500 0.000 0.000
0.500 0.500 0.500
0.250 0.250 0.750
0.250 0.750 0.250
0.750 0.250 0.250
0.750 0.750 0.750
0.250 0.250 0.250
0.250 0.750 0.750
0.750 0.250 0.750
0.750 0.750 0.250
```

Entry 3:
Compound: Ti2OsRh
Source: Alexandria via LeMat-Bulk
Functional: PBE
Structure: optimized geometry

Properties
ρ	10.11	Mg/m³
volume	64	Å³/f.u.
energy relative to the elements	0.7	eV/f.u.
energy	-8.407	eV per atom
N(E_F)	0.64	states/eV/atom

```
Ti2OsRh
1.0
2.742 0.000 0.000
0.000 4.848 0.000
0.000 0.000 9.610
Ti Os Rh
4 2 2
Direct
0.000 0.000 0.249
0.000 0.000 0.751
0.500 0.500 0.251
0.500 0.500 0.749
0.000 0.000 0.500
0.500 0.500 0.000
0.000 0.000 0.000
0.500 0.500 0.500
```

Entry 4:
Compound: Ti2OsRh
Source: Alexandria via LeMat-Bulk
Functional: PBE
Structure: optimized geometry

Properties
ρ	10.84	Mg/m³
volume	60	Å³/f.u.
energy relative to the elements	-2.8	eV/f.u.
energy	-9.304	eV per atom
N(E_F)	0.98	states/eV/atom

```
Ti2OsRh
1.0
6.200 0.000 0.000
0.000 6.200 0.000
0.000 0.000 6.200
Ti Os Rh
8 4 4
Direct
0.250 0.250 0.250
0.250 0.250 0.750
0.250 0.750 0.250
0.250 0.750 0.750
0.750 0.250 0.250
0.750 0.250 0.750
0.750 0.750 0.250
0.750 0.750 0.750
0.000 0.000 0.000
0.000 0.500 0.500
0.500 0.000 0.500
0.500 0.500 0.000
0.000 0.000 0.500
0.000 0.500 0.000
0.500 0.000 0.000
0.500 0.500 0.500
```

Entry 5:
Compound: Ti2OsRh5
Source: Alexandria via LeMat-Bulk
Functional: PBE
Structure: optimized geometry

Properties
ρ	11.56	Mg/m³
volume	115	Å³/f.u.
energy relative to the elements	-4.3	eV/f.u.
energy	-8.507	eV per atom
N(E_F)	1.07	states/eV/atom

```
Ti2OsRh5
1.0
5.452 0.000 0.000
0.000 10.911 0.000
0.000 0.000 3.866
Ti Os Rh
4 2 10
Direct
0.246 0.126 0.000
0.254 0.626 0.000
0.746 0.374 0.000
0.754 0.874 0.000
0.000 0.500 0.500
0.500 0.000 0.500
0.000 0.000 0.500
0.006 0.748 0.500
0.243 0.378 0.000
0.257 0.878 0.000
0.494 0.248 0.500
0.500 0.500 0.500
0.506 0.752 0.500
0.743 0.122 0.000
0.757 0.622 0.000
0.994 0.252 0.500
```

Entry 6:
Compound: TiOs2Rh
Source: Alexandria via LeMat-Bulk
Functional: PBE
Structure: optimized geometry

Properties
ρ	13.79	Mg/m³
volume	64	Å³/f.u.
energy relative to the elements	1.4	eV/f.u.
energy	-9.084	eV per atom
relative energy among the computed polymorphs	2.49	eV/f.u.
N(E_F)	1.35	states/eV/atom

```
TiOs2Rh
1.0
3.729 0.000 0.000
0.000 3.729 0.000
0.000 0.000 18.401
Ti Os Rh
4 8 4
Direct
0.000 0.000 0.000
0.000 0.500 0.250
0.500 0.000 0.750
0.500 0.500 0.500
0.225 0.250 0.125
0.250 0.725 0.375
0.250 0.775 0.875
0.275 0.250 0.625
0.725 0.750 0.625
0.750 0.225 0.875
0.750 0.275 0.375
0.775 0.750 0.125
0.000 0.000 0.500
0.000 0.500 0.750
0.500 0.000 0.250
0.500 0.500 0.000
```

Entry 7:
Compound: Ti4OsRh3
Source: Alexandria via LeMat-Bulk
Functional: PBE
Structure: optimized geometry

Properties
ρ	9.57	Mg/m³
volume	120	Å³/f.u.
energy relative to the elements	-5.8	eV/f.u.
energy	-8.835	eV per atom
N(E_F)	1.01	states/eV/atom

```
Ti4OsRh3
1.0
3.051 0.000 0.000
0.000 3.051 0.000
0.000 0.000 12.867
Ti Os Rh
4 1 3
Direct
0.000 0.000 0.121
0.000 0.000 0.374
0.000 0.000 0.626
0.000 0.000 0.879
0.500 0.500 0.000
0.500 0.500 0.247
0.500 0.500 0.500
0.500 0.500 0.753
```

Entry 8:
Compound: TiOsRh2
Source: Alexandria via LeMat-Bulk
Functional: PBE
Structure: optimized geometry

Properties
ρ	12.79	Mg/m³
volume	58	Å³/f.u.
energy relative to the elements	-1.7	eV/f.u.
energy	-8.884	eV per atom
relative energy among the computed polymorphs	0.00	eV/f.u.
N(E_F)	1.14	states/eV/atom

```
TiOsRh2
1.0
3.871 0.000 0.000
0.000 3.871 0.000
0.000 0.000 3.846
Ti Os Rh
1 1 2
Direct
0.000 0.000 0.000
0.500 0.500 0.000
0.000 0.500 0.500
0.500 0.000 0.500
```

Entry 9:
Compound: TiOsRh3
Source: Alexandria via LeMat-Bulk
Functional: PBE
Structure: optimized geometry

Properties
ρ	10.30	Mg/m³
volume	88	Å³/f.u.
energy relative to the elements	5.8	eV/f.u.
energy	-7.085	eV per atom
relative energy among the computed polymorphs	0.00	eV/f.u.
N(E_F)	1.19	states/eV/atom

```
TiOsRh3
1.0
4.450 0.000 0.000
0.000 4.450 0.000
0.000 0.000 4.450
Ti Os Rh
1 1 3
Direct
0.000 0.000 0.000
0.500 0.500 0.500
0.000 0.000 0.500
0.000 0.500 0.000
0.500 0.000 0.000
```

Entry 10:
Compound: Ti4Os2Rh
Source: Alexandria via LeMat-Bulk
Functional: PBE
Structure: optimized geometry

Properties
ρ	9.72	Mg/m³
volume	115	Å³/f.u.
energy relative to the elements	-3.3	eV/f.u.
energy	-9.244	eV per atom
N(E_F)	0.71	states/eV/atom

```
Ti4Os2Rh
1.0
6.129 0.000 0.000
0.000 6.129 0.000
0.000 0.000 6.135
Ti Os Rh
8 4 2
Direct
0.250 0.250 0.250
0.250 0.250 0.750
0.250 0.750 0.250
0.250 0.750 0.750
0.750 0.250 0.250
0.750 0.250 0.750
0.750 0.750 0.250
0.750 0.750 0.750
0.000 0.500 0.000
0.000 0.500 0.500
0.500 0.000 0.000
0.500 0.000 0.500
0.000 0.000 0.000
0.500 0.500 0.500
```

Entry 11:
Compound: Ti4OsRh
Source: Alexandria via LeMat-Bulk
Functional: PBE
Structure: optimized geometry

Properties
ρ	8.71	Mg/m³
volume	92	Å³/f.u.
energy relative to the elements	-3.4	eV/f.u.
energy	-8.920	eV per atom
relative energy among the computed polymorphs	0.00	eV/f.u.
N(E_F)	0.83	states/eV/atom

```
Ti4OsRh
1.0
10.162 0.000 0.000
0.000 3.091 0.000
-1.877 0.000 5.885
Ti Os Rh
8 2 2
Direct
0.159 0.000 0.326
0.160 0.000 0.833
0.340 0.500 0.167
0.341 0.500 0.674
0.659 0.500 0.326
0.660 0.500 0.833
0.840 0.000 0.167
0.841 0.000 0.674
0.000 0.500 0.000
0.500 0.000 0.000
0.000 0.500 0.500
0.500 0.000 0.500
```

Entry 12:
Compound: TiOsRh2
Source: Alexandria via LeMat-Bulk
Functional: PBE
Structure: optimized geometry

Properties
ρ	11.65	Mg/m³
volume	63	Å³/f.u.
energy relative to the elements	0.5	eV/f.u.
energy	-8.334	eV per atom
relative energy among the computed polymorphs	2.20	eV/f.u.
N(E_F)	1.01	states/eV/atom

```
TiOsRh2
1.0
3.785 0.000 0.000
0.000 3.785 0.000
0.000 0.000 17.670
Ti Os Rh
4 4 8
Direct
0.000 0.000 0.000
0.000 0.500 0.250
0.500 0.000 0.750
0.500 0.500 0.500
0.000 0.000 0.500
0.000 0.500 0.750
0.500 0.000 0.250
0.500 0.500 0.000
0.250 0.250 0.125
0.250 0.250 0.625
0.250 0.750 0.375
0.250 0.750 0.875
0.750 0.250 0.375
0.750 0.250 0.875
0.750 0.750 0.125
0.750 0.750 0.625
```

Number 1: total moment 0.00 μB per cell. Number 2: total moment 0.00 μB per cell. Number 3: total moment 0.00 μB per cell. Number 4: total moment 0.00 μB per cell. Number 5: total moment 0.00 μB per cell. Number 6: total moment 0.00 μB per cell. Number 7: total moment 0.00 μB per cell. Number 8: total moment 0.00 μB per cell. Number 9: total moment 2.49 μB per cell. Number 10: total moment 0.00 μB per cell. Number 11: total moment 0.00 μB per cell. Number 12: total moment 0.00 μB per cell.